Record 1
The following is a GGA-PBEsol calculation of LiMg2Cl after structural relaxation, from the Alexandria database.

Calculated values
* E_tot: -0.083 Ha/atom
* uncorrected formation energy: -0.39 eV per atom
* offset from the most stable computed form: 0.144 eV per atom
* DOS(E_F): 3.3 states/eV per cell

a = 7.996 Å, b = 7.996 Å, c = 5.760 Å
α = 90.00°, β = 90.00°, γ = 90.00°
Space group I-42d (No. 122)
Inequivalent atoms, fractional coordinates:
Li (0.000, 0.000, 0.000) [4 per cell]
Mg (0.208, 0.250, 0.625) [8 per cell]
Cl (0.000, 0.000, 0.500) [4 per cell]

---

Record 2
The following is a GGA-PBEsol calculation of LiMgCl after structural relaxation, from the Alexandria database.

Calculated values
* E_tot: -0.101 Ha/atom
* uncorrected formation energy: -0.86 eV per atom
* DOS(E_F): 1.2 states/eV per cell

a = 3.300 Å, b = 3.300 Å, c = 12.407 Å
α = 90.00°, β = 90.00°, γ = 90.00°
Space group I4mm (No. 107)
Inequivalent atoms, fractional coordinates:
Li (0.000, 0.000, 0.000) [2 per cell]
Mg (0.000, 0.000, 0.693) [2 per cell]
Cl (0.000, 0.000, 0.462) [2 per cell]

---

Record 3
The following is a GGA-PBEsol calculation of LiMg2Cl after structural relaxation, from the Alexandria database.

Calculated values
* E_tot: -0.088 Ha/atom
* uncorrected formation energy: -0.54 eV per atom
* offset from the most stable computed form: 0.000 eV per atom
* DOS(E_F): 2.2 states/eV per cell

a = 3.3342 Å, b = 3.3342 Å, c = 25.5294 Å
α = 90.00°, β = 90.00°, γ = 120.00°
Space group R-3m (No. 166, hexagonal axes)
Inequivalent atoms, fractional coordinates:
Li (0.0000, 0.0000, 0.0000) [3 per cell]
Mg (0.0000, 0.0000, 0.2448) [6 per cell]
Cl (0.0000, 0.0000, 0.5000) [3 per cell]

---

Record 4
The following is a GGA-PBEsol calculation of Li2MgCl after structural relaxation, from the Alexandria database.

Calculated values
* E_tot: -0.093 Ha/atom
* uncorrected formation energy: -0.61 eV per atom
* offset from the most stable computed form: 0.202 eV per atom
* DOS(E_F): 5.8 states/eV per cell

a = 7.213 Å, b = 7.213 Å, c = 6.628 Å
α = 90.00°, β = 90.00°, γ = 90.00°
Space group I-42d (No. 122)
Inequivalent atoms, fractional coordinates:
Li (0.174, 0.250, 0.125) [8 per cell]
Mg (0.000, 0.000, 0.500) [4 per cell]
Cl (0.000, 0.000, 0.000) [4 per cell]

---

What is the formula in the second record? LiMgCl

---

Number 3 is which compound? LiMg2Cl

---

The lowest E_tot belongs to which entry? LiMgCl